Below is a crystal of Ba2YMn3O8 relaxed with PBEsol, with properties calculated at the meta-GGA SCAN level.

Structure (CIF):
```
data_Ba2YMn3O8
_symmetry_space_group_name_H-M 'P 4/m m m'
_symmetry_Int_Tables_number 123
_symmetry_space_group_name_Hall '-P 4 2'
_cell_length_a 3.8921
_cell_length_b 3.8921
_cell_length_c 11.4738
_cell_angle_alpha 90.00
_cell_angle_beta 90.00
_cell_angle_gamma 90.00
loop_
_atom_site_label
_atom_site_type_symbol
_atom_site_fract_x
_atom_site_fract_y
_atom_site_fract_z
Ba1 Ba 0.0000 0.0000 0.1676
Y1 Y 0.0000 0.0000 0.5000
Mn1 Mn 0.5000 0.5000 0.0000
Mn2 Mn 0.5000 0.5000 0.3450
O1 O 0.0000 0.5000 0.0000
O2 O 0.0000 0.5000 0.3784
O3 O 0.5000 0.5000 0.1763
```

Calculated values
The density of states at the Fermi level comes out at 1.5 states/eV/cell. Its uncorrected formation energy is -2.778 eV/atom.